(1)
{"formula": "Sr2O2F", "functional": "PBE", "state": "optimized geometry", "lattice_angstrom": [[-1.9614, 1.9614, 6.4500], [1.9614, -1.9614, 6.4500], [1.9614, 1.9614, -6.4500]], "species": ["Sr", "Sr", "O", "O", "F"], "frac_coords": [[0.1446, 0.1446, 0.0000], [0.8554, 0.8554, 0.0000], [0.2500, 0.7500, 0.5000], [0.7500, 0.2500, 0.5000], [0.5000, 0.5000, 0.0000]], "e_form_raw_ev_per_atom": -2.402, "final_energy_ev_per_atom": -5.432}



(2)
{"formula": "SrOF2", "functional": "PBE", "state": "optimized geometry", "lattice_angstrom": [[2.0662, 1.1929, 3.6757], [-2.0662, 1.1929, 3.6757], [0.0000, -2.3859, 3.6757]], "species": ["Sr", "O", "F", "F"], "frac_coords": [[0.0000, 0.0000, 0.0000], [0.5000, 0.5000, 0.5000], [0.2388, 0.2388, 0.2388], [0.7612, 0.7612, 0.7612]], "e_form_raw_ev_per_atom": -2.212, "final_energy_ev_per_atom": -4.807, "polymorph_energy_kj_per_mol_fu": 238}



(3)
{"formula": "Sr2O2F3", "functional": "PBE", "state": "optimized geometry", "lattice_angstrom": [[3.6639, 0.0000, 0.0000], [-1.1726, 5.8133, 0.0000], [-0.8500, -1.9065, 5.9953]], "species": ["Sr", "Sr", "O", "O", "F", "F", "F"], "frac_coords": [[0.1332, 0.2900, 0.2385], [0.8668, 0.7100, 0.7615], [0.3365, 0.4629, 0.9233], [0.6635, 0.5371, 0.0767], [0.3052, 0.6958, 0.5095], [0.5000, 0.0000, 0.0000], [0.6948, 0.3042, 0.4905]], "e_form_raw_ev_per_atom": -2.807, "final_energy_ev_per_atom": -5.506}



(4)
{"formula": "Sr4O3F", "functional": "PBE", "state": "optimized geometry", "lattice_angstrom": [[5.2356, 0.0000, 0.0000], [0.0000, 5.2356, 0.0000], [0.0000, 0.0000, 5.2356]], "species": ["Sr", "Sr", "Sr", "Sr", "O", "O", "O", "F"], "frac_coords": [[0.0000, 0.0000, 0.0000], [0.0000, 0.5000, 0.5000], [0.5000, 0.0000, 0.5000], [0.5000, 0.5000, 0.0000], [0.0000, 0.0000, 0.5000], [0.0000, 0.5000, 0.0000], [0.5000, 0.0000, 0.0000], [0.5000, 0.5000, 0.5000]], "e_form_raw_ev_per_atom": -2.609, "final_energy_ev_per_atom": -5.543}



(5)
{"formula": "Sr2OF2", "functional": "PBE", "state": "optimized geometry", "lattice_angstrom": [[6.7777, 0.0000, 0.0000], [0.0000, 6.7777, 0.0000], [0.0000, 0.0000, 3.6012]], "species": ["Sr", "Sr", "Sr", "Sr", "O", "O", "F", "F", "F", "F"], "frac_coords": [[0.1873, 0.3127, 0.0000], [0.3127, 0.8127, 0.0000], [0.6873, 0.1873, 0.0000], [0.8127, 0.6873, 0.0000], [0.0000, 0.0000, 0.0000], [0.5000, 0.5000, 0.0000], [0.1300, 0.6300, 0.5000], [0.3700, 0.1300, 0.5000], [0.6300, 0.8700, 0.5000], [0.8700, 0.3700, 0.5000]], "e_form_raw_ev_per_atom": -3.080, "final_energy_ev_per_atom": -5.493, "polymorph_energy_kj_per_mol_fu": 131}



(6)
{"formula": "SrO2F2", "functional": "PBE", "state": "optimized geometry", "lattice_angstrom": [[3.6569, 0.0000, 0.0000], [0.0000, 3.6569, 0.0000], [0.0000, 0.0000, 4.8009]], "species": ["Sr", "O", "O", "F", "F"], "frac_coords": [[0.0000, 0.0000, 0.0000], [0.0000, 0.5000, 0.5000], [0.5000, 0.0000, 0.5000], [0.5000, 0.5000, 0.0000], [0.5000, 0.5000, 0.5000]], "e_form_raw_ev_per_atom": -0.963, "final_energy_ev_per_atom": -4.031}